Entry 1:
A plane-wave DFT calculation with PBE was carried out for an optimized crystal structure of Na2SbBr4.

**Raw formation energy**: -0.9433 eV/atom

a b c (Å): 7.543 7.543 8.247
angles (deg): 90.00 90.00 90.00
Fractional coordinates of all 14 atoms:
Na1 0.000 0.500 0.250
Na2 0.000 0.500 0.750
Na3 0.500 0.000 0.250
Na4 0.500 0.000 0.750
Sb1 0.000 0.000 0.000
Sb2 0.500 0.500 0.500
Br1 0.241 0.241 0.570
Br2 0.241 0.759 0.430
Br3 0.259 0.259 0.070
Br4 0.259 0.741 0.930
Br5 0.741 0.259 0.930
Br6 0.741 0.741 0.070
Br7 0.759 0.241 0.430
Br8 0.759 0.759 0.570

=====

Entry 2:
A plane-wave DFT calculation with PBE was carried out for an optimized crystal structure of Pm2FeSn.

**Density of states at the Fermi level**: 4.74 states/eV/f.u.
**Final energy**: -5.681 eV/atom

a b c (Å): 3.570 3.570 7.847
angles (deg): 90.00 90.00 90.00
Fractional coordinates of all 4 atoms:
Pm1 0.000 0.000 0.217
Pm2 0.000 0.000 0.783
Fe1 0.500 0.500 0.000
Sn1 0.500 0.500 0.500

=====

| no. | total magnetization (μB per formula unit) |
| --- | --- |
| 1 | 1.00 |
| 2 | 1.24 |